Material: Ba2LaBr6
Method: DFT, PBE-GGA
State: relaxed

Geometry as CIF:
```
data_Ba2LaBr6
_chemical_formula_sum 'Ba4 La2 Br12'
_space_group_name_H-M_alt 'P 42/m n m'
_space_group_IT_number 136
_space_group_name_Hall '-P 4n 2n'
_cell_length_a 7.671
_cell_length_b 7.671
_cell_length_c 13.594
_cell_angle_alpha 90.00
_cell_angle_beta 90.00
_cell_angle_gamma 90.00
loop_
_atom_site_label
_atom_site_type_symbol
_atom_site_fract_x
_atom_site_fract_y
_atom_site_fract_z
Ba1 Ba 0.000 0.000 0.175
La1 La 0.000 0.000 0.500
Br1 Br 0.204 0.204 0.348
Br2 Br 0.217 0.217 0.000
```

***

# PBE-GGA BaLa2Br, relaxed
# Energy above the most stable polymorph in this dataset   1.68 eV/f.u.
data_BaLa2Br
_chemical_formula_sum 'Ba1 La2 Br1'
_space_group_name_H-M_alt 'P 4/m m m'
_space_group_IT_number 123
_space_group_name_Hall '-P 4 2'
_cell_length_a 6.103
_cell_length_b 6.103
_cell_length_c 3.811
_cell_angle_alpha 90.00
_cell_angle_beta 90.00
_cell_angle_gamma 90.00
loop_
_atom_site_label
_atom_site_type_symbol
_atom_site_fract_x
_atom_site_fract_y
_atom_site_fract_z
Ba1 Ba 0.000 0.000 0.000
La1 La 0.000 0.500 0.500
Br1 Br 0.500 0.500 0.000

***

# PBE-GGA BaLa2Br, relaxed
# Energy above the most stable polymorph in this dataset   0.77 eV/f.u.
data_BaLa2Br
_chemical_formula_sum 'Ba2 La4 Br2'
_space_group_name_H-M_alt 'C 1 m 1'
_space_group_IT_number 8
_space_group_name_Hall 'C -2y'
_cell_length_a 12.323
_cell_length_b 3.828
_cell_length_c 6.989
_cell_angle_alpha 90.00
_cell_angle_beta 104.32
_cell_angle_gamma 90.00
loop_
_atom_site_label
_atom_site_type_symbol
_atom_site_fract_x
_atom_site_fract_y
_atom_site_fract_z
Ba1 Ba 0.000 0.000 0.000
La1 La 0.057 0.500 0.511
La2 La 0.298 0.500 0.415
Br1 Br 0.245 0.000 0.774

***

# PBE-GGA BaLa2Br, relaxed
# Energy above the most stable polymorph in this dataset   0.21 eV/f.u.
data_BaLa2Br
_chemical_formula_sum 'Ba1 La2 Br1'
_space_group_name_H-M_alt 'P 4 m m'
_space_group_IT_number 99
_space_group_name_Hall 'P 4 -2'
_cell_length_a 3.806
_cell_length_b 3.806
_cell_length_c 10.422
_cell_angle_alpha 90.00
_cell_angle_beta 90.00
_cell_angle_gamma 90.00
loop_
_atom_site_label
_atom_site_type_symbol
_atom_site_fract_x
_atom_site_fract_y
_atom_site_fract_z
Ba1 Ba 0.000 0.000 0.000
La1 La 0.000 0.000 0.451
La2 La 0.500 0.500 0.700
Br1 Br 0.500 0.500 0.234

***

# PBE-GGA BaLa3Br, relaxed
# Energy above the most stable polymorph in this dataset   0.00 eV/f.u.
data_BaLa3Br
_chemical_formula_sum 'Ba1 La3 Br1'
_space_group_name_H-M_alt 'P m -3 m'
_space_group_IT_number 221
_space_group_name_Hall '-P 4 2 3'
_cell_length_a 5.879
_cell_length_b 5.879
_cell_length_c 5.879
_cell_angle_alpha 90.00
_cell_angle_beta 90.00
_cell_angle_gamma 90.00
loop_
_atom_site_label
_atom_site_type_symbol
_atom_site_fract_x
_atom_site_fract_y
_atom_site_fract_z
Ba1 Ba 0.000 0.000 0.000
La1 La 0.000 0.500 0.500
Br1 Br 0.500 0.500 0.500

***

# PBE-GGA BaLa2Br, relaxed
# Energy above the most stable polymorph in this dataset   0.28 eV/f.u.
data_BaLa2Br
_chemical_formula_sum 'Ba2 La4 Br2'
_space_group_name_H-M_alt 'I m m m'
_space_group_IT_number 71
_space_group_name_Hall '-I 2 2'
_cell_length_a 3.741
_cell_length_b 5.642
_cell_length_c 14.095
_cell_angle_alpha 90.00
_cell_angle_beta 90.00
_cell_angle_gamma 90.00
loop_
_atom_site_label
_atom_site_type_symbol
_atom_site_fract_x
_atom_site_fract_y
_atom_site_fract_z
Ba1 Ba 0.000 0.000 0.000
La1 La 0.000 0.500 0.211
Br1 Br 0.000 0.000 0.500

***

Number 1: ΔE_f (raw) -1.94 eV/atom, calculated total energy -36.30 eV/f.u.. Number 2: ΔE_f (raw) -0.18 eV/atom, calculated total energy -14.15 eV/f.u.. Number 3: ΔE_f (raw) -0.40 eV/atom, calculated total energy -15.06 eV/f.u.. Number 4: ΔE_f (raw) -0.54 eV/atom, calculated total energy -15.62 eV/f.u.. Number 5: ΔE_f (raw) -0.35 eV/atom, calculated total energy -20.13 eV/f.u.. Number 6: ΔE_f (raw) -0.52 eV/atom, calculated total energy -15.55 eV/f.u..